A plane-wave DFT calculation with PBE-GGA was carried out for a relaxed Ba3Cu2Sb4 crystal.

Cell lengths 9.3059, 9.3059, 7.8067 Å; angles 112.35, 112.35, 28.95 degrees
Last column: nearest neighbours and their distance in Å.
Sites, in units of the cell vectors:
Cu: 0.3383 0.3383 0.0490  4 Sb 2.67-2.70
Cu: 0.6617 0.6617 0.9510  4 Sb 2.67-2.70
Sb: 0.5112 0.5112 0.6897  1 Cu 2.68, 1 Sb 2.83
Sb: 0.7941 0.7941 0.8702  3 Cu 2.67-2.70
Sb: 0.4888 0.4888 0.3103  1 Cu 2.68, 1 Sb 2.83
Sb: 0.2059 0.2059 0.1298  3 Cu 2.67-2.70
Ba: 0.1458 0.1458 0.6057  3 Cu 3.49-3.82, 7 Sb 3.53-3.80
Ba: 0.8542 0.8542 0.3943  3 Cu 3.49-3.82, 7 Sb 3.53-3.80
Ba: 0.0000 0.0000 0.0000  6 Sb 3.42-3.44

Values from the calculation:
The total energy comes out at -35.4 eV per cell. The space-group type is C2/m, No. 12.